1.
DFT (GGA-PBE) results for a relaxed structure of Ba2BiPtCl.

abc: 6.697 6.697 5.307
angles: 90.00 90.00 90.00
Atoms (fractional coordinates):
Ba: 0.000 0.500 0.000
Ba: 0.500 0.000 0.000
Bi: 0.000 0.000 0.000
Pt: 0.500 0.500 0.500
Cl: 0.000 0.000 0.500

Properties
Total moment ... 0.0000 μB per atom
Space-group type ... P4/mmm, No. 123
Energy relative to the elements, uncorrected ... -0.1808 eV per atom
Fermi-level density of states ... 0.7 states/eV/f.u.

2.
DFT (GGA-PBE) results for a relaxed structure of RbBaBiCl6.

abc: 7.737 7.737 13.725
angles: 90.00 90.00 120.00
Atoms (fractional coordinates):
Rb: 0.000 0.000 0.000
Rb: 0.000 0.000 0.500
Ba: 0.333 0.667 0.250
Ba: 0.667 0.333 0.750
Bi: 0.333 0.667 0.750
Bi: 0.667 0.333 0.250
Cl: 0.035 0.382 0.637
Cl: 0.035 0.653 0.863
Cl: 0.347 0.382 0.863
Cl: 0.347 0.965 0.637
Cl: 0.382 0.035 0.137
Cl: 0.382 0.347 0.363
Cl: 0.618 0.653 0.637
Cl: 0.618 0.965 0.863
Cl: 0.653 0.035 0.363
Cl: 0.653 0.618 0.137
Cl: 0.965 0.347 0.137
Cl: 0.965 0.618 0.363

Properties
Total moment ... 0.0000 μB per atom
Space-group type ... P-31c, No. 163
Energy relative to the elements, uncorrected ... -1.7373 eV per atom
Fermi-level density of states ... 0.0 states/eV/f.u.

3.
DFT (GGA-PBE) results for a relaxed structure of BaBiSCl2.

abc: 5.766 5.766 6.272
angles: 90.00 90.00 90.00
Atoms (fractional coordinates):
Ba: 0.000 0.000 0.000
Bi: 0.500 0.500 0.500
S: 0.000 0.000 0.500
Cl: 0.000 0.500 0.000
Cl: 0.500 0.000 0.000

Properties
Total moment ... 0.1986 μB per atom
Space-group type ... P4/mmm, No. 123
Energy relative to the elements, uncorrected ... -0.6104 eV per atom
Fermi-level density of states ... 4.4 states/eV/f.u.
Offset from the most stable computed form ... 2.22 eV/f.u.

4.
DFT (GGA-PBE) results for a relaxed structure of BaBiSCl2.

abc: 5.540 5.540 5.539
angles: 90.00 90.00 90.00
Atoms (fractional coordinates):
Ba: 0.000 0.000 0.000
Bi: 0.500 0.500 0.500
S: 0.500 0.500 0.000
Cl: 0.000 0.500 0.500
Cl: 0.500 0.000 0.500

Properties
Total moment ... 0.0000 μB per atom
Space-group type ... P4/mmm, No. 123
Energy relative to the elements, uncorrected ... -1.0549 eV per atom
Fermi-level density of states ... 2.0 states/eV/f.u.
Offset from the most stable computed form ... 0.00 eV/f.u.

5.
DFT (GGA-PBE) results for a relaxed structure of Ba6BiSe3Cl2.

abc: 8.212 8.212 8.312
angles: 99.46 99.46 119.99
Atoms (fractional coordinates):
Ba: 0.079 0.412 0.237
Ba: 0.254 0.254 0.764
Ba: 0.412 0.079 0.237
Ba: 0.588 0.921 0.763
Ba: 0.746 0.746 0.236
Ba: 0.921 0.588 0.763
Bi: 0.500 0.500 0.500
Se: 0.000 0.000 0.000
Se: 0.333 0.667 0.000
Se: 0.667 0.333 0.000
Cl: 0.166 0.834 0.500
Cl: 0.834 0.166 0.500

Properties
Total moment ... 0.0000 μB per atom
Space-group type ... C2/m, No. 12
Energy relative to the elements, uncorrected ... -1.8428 eV per atom
Fermi-level density of states ... 3.7 states/eV/f.u.

6.
DFT (GGA-PBE) results for a relaxed structure of BaSiBi2Cl.

abc: 5.413 5.413 5.755
angles: 90.00 90.00 90.00
Atoms (fractional coordinates):
Ba: 0.000 0.000 0.000
Si: 0.500 0.500 0.500
Bi: 0.000 0.500 0.500
Bi: 0.500 0.000 0.500
Cl: 0.500 0.500 0.000

Properties
Total moment ... 0.0000 μB per atom
Space-group type ... P4/mmm, No. 123
Energy relative to the elements, uncorrected ... -0.3314 eV per atom
Fermi-level density of states ... 2.3 states/eV/f.u.

7.
DFT (GGA-PBE) results for a relaxed structure of BaSiBiCl2.

abc: 5.222 5.222 5.589
angles: 90.00 90.00 90.00
Atoms (fractional coordinates):
Ba: 0.000 0.000 0.000
Si: 0.500 0.500 0.500
Bi: 0.500 0.500 0.000
Cl: 0.000 0.500 0.500
Cl: 0.500 0.000 0.500

Properties
Total moment ... 0.0000 μB per atom
Space-group type ... P4/mmm, No. 123
Energy relative to the elements, uncorrected ... -0.7547 eV per atom
Fermi-level density of states ... 2.5 states/eV/f.u.

8.
DFT (GGA-PBE) results for a relaxed structure of Ba6Bi2TeCl3.

abc: 10.755 10.755 9.525
angles: 99.21 99.21 26.84
Atoms (fractional coordinates):
Ba: 0.000 0.000 0.247
Ba: 0.000 0.000 0.753
Ba: 0.332 0.332 0.418
Ba: 0.333 0.333 0.919
Ba: 0.667 0.667 0.081
Ba: 0.668 0.668 0.582
Bi: 0.165 0.165 0.829
Bi: 0.835 0.835 0.171
Te: 0.500 0.500 0.500
Cl: 0.165 0.165 0.333
Cl: 0.500 0.500 0.000
Cl: 0.835 0.835 0.667

Properties
Total moment ... 0.0000 μB per atom
Space-group type ... C2/m, No. 12
Energy relative to the elements, uncorrected ... -1.6029 eV per atom
Fermi-level density of states ... 3.6 states/eV/f.u.

9.
DFT (GGA-PBE) results for a relaxed structure of Ba4BiTeCl2.

abc: 8.112 4.956 8.555
angles: 90.00 110.61 90.00
Atoms (fractional coordinates):
Ba: 0.247 0.000 0.247
Ba: 0.247 0.500 0.751
Ba: 0.753 0.000 0.753
Ba: 0.753 0.500 0.249
Bi: 0.500 0.000 0.000
Te: 0.500 0.500 0.500
Cl: 0.000 0.000 0.500
Cl: 0.000 0.500 0.000

Properties
Total moment ... 0.0000 μB per atom
Space-group type ... P2/m, No. 10
Energy relative to the elements, uncorrected ... -1.6529 eV per atom
Fermi-level density of states ... 3.2 states/eV/f.u.

10.
DFT (GGA-PBE) results for a relaxed structure of Ba2BiTeCl.

abc: 6.754 6.754 5.367
angles: 90.00 90.00 90.00
Atoms (fractional coordinates):
Ba: 0.000 0.500 0.000
Ba: 0.500 0.000 0.000
Bi: 0.000 0.000 0.000
Te: 0.500 0.500 0.500
Cl: 0.000 0.000 0.500

Properties
Total moment ... 0.0000 μB per atom
Space-group type ... P4/mmm, No. 123
Energy relative to the elements, uncorrected ... -0.8932 eV per atom
Fermi-level density of states ... 0.5 states/eV/f.u.

11.
DFT (GGA-PBE) results for a relaxed structure of BaTi2BiCl.

abc: 5.420 5.420 6.196
angles: 90.00 90.00 90.00
Atoms (fractional coordinates):
Ba: 0.000 0.000 0.000
Ti: 0.000 0.500 0.000
Ti: 0.500 0.000 0.000
Bi: 0.000 0.000 0.500
Cl: 0.500 0.500 0.500

Properties
Total moment ... 0.4711 μB per atom
Space-group type ... P4/mmm, No. 123
Energy relative to the elements, uncorrected ... 1.6148 eV per atom
Fermi-level density of states ... 7.4 states/eV/f.u.

12.
DFT (GGA-PBE) results for a relaxed structure of Ba2ZnBiCl.

abc: 6.406 6.406 4.874
angles: 90.00 90.00 90.00
Atoms (fractional coordinates):
Ba: 0.000 0.500 0.000
Ba: 0.500 0.000 0.000
Zn: 0.000 0.000 0.000
Bi: 0.500 0.500 0.500
Cl: 0.000 0.000 0.500

Properties
Total moment ... 0.0000 μB per atom
Space-group type ... P4/mmm, No. 123
Energy relative to the elements, uncorrected ... -0.5276 eV per atom
Fermi-level density of states ... 2.4 states/eV/f.u.

- Look up the energy relative to the elements, uncorrected of the tenth one.
  -0.8932 eV per atom

- total moment of number 7 (BaSiBiCl2)?
  0.0000 μB per atom

- Which of these has the lowest energy relative to the elements, uncorrected?
  Ba6BiSe3Cl2